Entry 1:
A plane-wave DFT calculation with PBE was carried out for crystalline Tm2Ga8Os at its relaxed geometry.

Values from the calculation:
* uncorrected energy: -49.120 eV per cell
* calculated volume: 18.49 A^3/atom

Lattice parameters (Å, degrees): 4.270 4.270 11.159 90.00 90.00 90.00
Space group P4/mmm (No. 123)
Inequivalent atoms, fractional coordinates:
Tm: 0.000 0.000 0.191 (multiplicity 2)
Ga: 0.000 0.500 0.000 (multiplicity 2)
Ga: 0.000 0.500 0.377 (multiplicity 4)
Ga: 0.500 0.500 0.193 (multiplicity 2)
Os: 0.000 0.000 0.500 (multiplicity 1)



Entry 2:
A plane-wave DFT calculation with PBE was carried out for crystalline Tm2Ga10Os3 at its relaxed geometry.

Values from the calculation:
* uncorrected energy: -158.239 eV per cell
* calculated volume: 16.71 A^3/atom

Lattice parameters (Å, degrees): 8.876 8.876 6.362 90.00 90.00 90.00
Space group P4/mbm (No. 127)
Inequivalent atoms, fractional coordinates:
Tm: 0.183 0.317 0.000 (multiplicity 4)
Ga: 0.000 0.500 0.282 (multiplicity 4)
Ga: 0.061 0.793 0.292 (multiplicity 16)
Os: 0.000 0.000 0.000 (multiplicity 2)
Os: 0.178 0.322 0.500 (multiplicity 4)



Entry 3:
A plane-wave DFT calculation with PBE was carried out for crystalline UGaOs at its relaxed geometry.

Values from the calculation:
* uncorrected energy: -101.246 eV per cell
* calculated volume: 21.27 A^3/atom

Lattice parameters (Å, degrees): 6.344 6.344 6.344 90.00 90.00 90.00
Space group F-43m (No. 216)
Inequivalent atoms, fractional coordinates:
U: 0.000 0.000 0.000 (multiplicity 4)
Ga: 0.000 0.000 0.500 (multiplicity 4)
Os: 0.250 0.250 0.750 (multiplicity 4)



What did the second record say?
A plane-wave DFT calculation with PBE was carried out for crystalline Tm2Ga10Os3 at its relaxed geometry.

Values from the calculation:
* uncorrected energy: -158.239 eV per cell
* calculated volume: 16.71 A^3/atom

Lattice parameters (Å, degrees): 8.876 8.876 6.362 90.00 90.00 90.00
Space group P4/mbm (No. 127)
Inequivalent atoms, fractional coordinates:
Tm: 0.183 0.317 0.000 (multiplicity 4)
Ga: 0.000 0.500 0.282 (multiplicity 4)
Ga: 0.061 0.793 0.292 (multiplicity 16)
Os: 0.000 0.000 0.000 (multiplicity 2)
Os: 0.178 0.322 0.500 (multiplicity 4)



Look up the uncorrected energy of the second one. -158.239 eV per cell



What is the calculated volume in the third record? 21.27 A^3/atom